(1)
DFT (GGA-PBE) results for a geometry-optimized NiSbBr2 structure.

The structure in CIF format:
```
data_NiSbBr2
_chemical_formula_sum 'Ni4 Sb4 Br8'
_space_group_name_H-M_alt 'I -4 2 d'
_space_group_IT_number 122
_space_group_name_Hall 'I -4 2bw'
_cell_length_a 10.0828
_cell_length_b 10.0828
_cell_length_c 4.8440
_cell_angle_alpha 90.00
_cell_angle_beta 90.00
_cell_angle_gamma 90.00
loop_
_atom_site_label
_atom_site_fract_x
_atom_site_fract_y
_atom_site_fract_z
Ni1 0.0000 0.0000 0.0000
Sb1 0.0000 0.0000 0.5000
Br1 0.0031 0.2500 0.1250
```

Summary:
* ΔE_f (raw): 0.02 eV/atom
* Fermi-level density of states: 1.8 states/eV/f.u.
* theoretical density: 4.589 g/cm³

(2)
DFT (GGA-PBE) results for a geometry-optimized NiSb2Br structure.

The structure in CIF format:
```
data_NiSb2Br
_chemical_formula_sum 'Ni2 Sb4 Br2'
_space_group_name_H-M_alt 'C 1 2/m 1'
_space_group_IT_number 12
_cell_length_a 7.0304
_cell_length_b 3.9292
_cell_length_c 7.9388
_cell_angle_alpha 90.00
_cell_angle_beta 114.90
_cell_angle_gamma 90.00
loop_
_space_group_symop_operation_xyz
'x,y,z'
'-x,-y,-z'
'-x,y,-z'
'x,-y,z'
'x+1/2,y+1/2,z'
'-x+1/2,-y+1/2,-z'
'-x+1/2,y+1/2,-z'
'x+1/2,-y+1/2,z'
loop_
_atom_site_label
_atom_site_fract_x
_atom_site_fract_y
_atom_site_fract_z
Ni1 0.0000 0.0000 0.0000
Sb1 0.2497 0.0000 0.8395
Br1 0.0000 0.5000 0.5000
```

Summary:
* ΔE_f (raw): -0.20 eV/atom
* Fermi-level density of states: 2.5 states/eV/f.u.
* theoretical density: 6.380 g/cm³

(3)
DFT (GGA-PBE) results for a geometry-optimized NiSb2Br structure.

The structure in CIF format:
```
data_NiSb2Br
_chemical_formula_sum 'Ni1 Sb2 Br1'
_space_group_name_H-M_alt 'P 1 2/m 1'
_space_group_IT_number 10
_cell_length_a 3.2694
_cell_length_b 3.2600
_cell_length_c 8.4299
_cell_angle_alpha 90.00
_cell_angle_beta 91.74
_cell_angle_gamma 90.00
loop_
_space_group_symop_operation_xyz
'x,y,z'
'-x,-y,-z'
'-x,y,-z'
'x,-y,z'
loop_
_atom_site_label
_atom_site_fract_x
_atom_site_fract_y
_atom_site_fract_z
Ni1 0.0000 0.0000 0.0000
Sb1 0.4746 0.5000 0.8108
Br1 0.0000 0.0000 0.5000
```

Summary:
* ΔE_f (raw): -0.01 eV/atom
* Fermi-level density of states: 2.1 states/eV/f.u.
* theoretical density: 7.065 g/cm³

(4)
DFT (GGA-PBE) results for a geometry-optimized NiSb2Br structure.

The structure in CIF format:
```
data_NiSb2Br
_chemical_formula_sum 'Ni1 Sb2 Br1'
_space_group_name_H-M_alt 'P 4 m m'
_space_group_IT_number 99
_cell_length_a 3.6126
_cell_length_b 3.6126
_cell_length_c 7.9993
_cell_angle_alpha 90.00
_cell_angle_beta 90.00
_cell_angle_gamma 90.00
loop_
_space_group_symop_operation_xyz
'x,y,z'
'-y,x,z'
'-x,-y,z'
'y,-x,z'
'-x,y,z'
'y,x,z'
'x,-y,z'
'-y,-x,z'
loop_
_atom_site_label
_atom_site_fract_x
_atom_site_fract_y
_atom_site_fract_z
Ni1 0.0000 0.0000 0.0000
Sb1 0.0000 0.0000 0.3117
Sb2 0.5000 0.5000 0.9687
Br1 0.5000 0.5000 0.6327
```

Summary:
* ΔE_f (raw): 0.09 eV/atom
* Fermi-level density of states: 2.3 states/eV/f.u.
* theoretical density: 6.078 g/cm³

Repeat the third record exactly.
DFT (GGA-PBE) results for a geometry-optimized NiSb2Br structure.

The structure in CIF format:
```
data_NiSb2Br
_chemical_formula_sum 'Ni1 Sb2 Br1'
_space_group_name_H-M_alt 'P 1 2/m 1'
_space_group_IT_number 10
_cell_length_a 3.2694
_cell_length_b 3.2600
_cell_length_c 8.4299
_cell_angle_alpha 90.00
_cell_angle_beta 91.74
_cell_angle_gamma 90.00
loop_
_space_group_symop_operation_xyz
'x,y,z'
'-x,-y,-z'
'-x,y,-z'
'x,-y,z'
loop_
_atom_site_label
_atom_site_fract_x
_atom_site_fract_y
_atom_site_fract_z
Ni1 0.0000 0.0000 0.0000
Sb1 0.4746 0.5000 0.8108
Br1 0.0000 0.0000 0.5000
```

Summary:
* ΔE_f (raw): -0.01 eV/atom
* Fermi-level density of states: 2.1 states/eV/f.u.
* theoretical density: 7.065 g/cm³